Compound: SrCoSeO
Source: OQMD
Functional: GGA+U
Structure: relaxed

a b c (Å): 6.561 6.561 7.101
angles (deg): 90.00 90.00 148.73
Last column: magnetic moment on the atom in μB.
Atoms (fractional coordinates):
O 0.619 0.381 0.986  0.11
Co 0.802 0.198 0.525  2.60
Sr 0.531 0.469 0.690  0.02
Sr 0.469 0.531 0.190  0.02
Co 0.198 0.802 0.025  2.60
Se 0.152 0.848 0.406  0.10
O 0.381 0.619 0.486  0.11
Se 0.848 0.152 0.906  0.10

Output
Total DFT energy (no corrections) ... -4.997 eV/atom
M_tot ... 3.0 μB per formula unit
ρ ... 5.06 Mg/m³
Space-group type ... No. 36